1.
GGA-PBE Dy6HoEr, optimized geometry; DFT total energy = -35.1 eV per cell; energy relative to the lowest polymorph listed for this composition = 1.49 eV/f.u.; calculated density = 8.6 Mg/m³; calculated formation energy = 0.207 eV per atom; SG = No. 2
1.0
-3.310 -5.632 -1.471
3.726 -0.823 -5.265
3.007 -6.069 1.192
Dy Ho Er
6 1 1
direct
0.095 0.769 0.479 Dy
0.573 0.730 0.522 Dy
0.427 0.270 0.478 Dy
0.905 0.231 0.521 Dy
0.550 0.750 0.000 Dy
0.450 0.250 0.000 Dy
0.000 0.000 0.000 Ho
0.000 0.500 0.000 Er

2.
GGA-PBE Dy4Ho4Er3, optimized geometry; DFT total energy = -48.4 eV per cell; energy relative to the lowest polymorph listed for this composition = 1.39 eV/f.u.; calculated density = 8.5 Mg/m³; calculated formation energy = 0.186 eV per atom; SG = No. 71
1.0
-0.937 -2.926 1.727
5.144 -6.157 -7.644
5.556 4.941 7.791
Dy Ho Er
4 4 3
direct
0.774 0.274 0.549 Dy
0.226 0.726 0.451 Dy
0.500 0.794 0.000 Dy
0.500 0.206 0.000 Dy
0.670 0.431 0.339 Ho
0.330 0.092 0.661 Ho
0.330 0.569 0.661 Ho
0.670 0.908 0.339 Ho
0.893 0.893 0.786 Er
0.107 0.107 0.214 Er
0.000 0.500 0.000 Er

3.
GGA-PBE Dy5Ho3Er4, optimized geometry; DFT total energy = -54.8 eV per cell; energy relative to the lowest polymorph listed for this composition = 0.00 eV/f.u.; calculated density = 8.9 Mg/m³; calculated formation energy = 0.020 eV per atom; SG = No. 2
1.0
-4.270 5.589 0.206
-2.028 -10.520 2.968
3.930 11.749 2.685
Dy Ho Er
5 3 4
direct
0.334 0.667 0.833 Dy
0.500 0.000 0.500 Dy
0.750 0.500 0.000 Dy
0.250 0.500 0.000 Dy
0.666 0.333 0.167 Dy
0.584 0.167 0.333 Ho
0.000 0.000 0.500 Ho
0.416 0.833 0.667 Ho
0.916 0.833 0.667 Er
0.834 0.668 0.834 Er
0.166 0.332 0.166 Er
0.084 0.167 0.333 Er

4.
GGA-PBE Dy4Ho3Er, optimized geometry; DFT total energy = -73.3 eV per cell; energy relative to the lowest polymorph listed for this composition = 0.00 eV/f.u.; calculated density = 8.7 Mg/m³; calculated formation energy = 0.004 eV per atom; SG = No. 31
1.0
-0.364 4.058 4.726
-6.970 -1.655 0.885
2.827 -8.079 7.156
Dy Ho Er
8 6 2
direct
0.148 0.875 0.000 Dy
0.648 0.126 0.000 Dy
0.981 0.126 0.250 Dy
0.481 0.874 0.250 Dy
0.148 0.874 0.500 Dy
0.648 0.125 0.500 Dy
0.481 0.874 0.750 Dy
0.981 0.126 0.750 Dy
0.648 0.624 0.000 Ho
0.981 0.624 0.250 Ho
0.481 0.376 0.250 Ho
0.148 0.376 0.500 Ho
0.481 0.376 0.750 Ho
0.981 0.624 0.750 Ho
0.148 0.376 0.000 Er
0.648 0.624 0.500 Er

5.
GGA-PBE Dy12Ho7Er, optimized geometry; DFT total energy = -85.9 eV per cell; energy relative to the lowest polymorph listed for this composition = 0.00 eV/f.u.; calculated density = 8.6 Mg/m³; calculated formation energy = 0.299 eV per atom; SG = No. 148
1.0
-6.365 1.804 -5.537
4.689 -4.477 -5.691
-3.888 -6.924 3.370
Dy Ho Er
12 7 1
direct
0.815 0.250 0.687 Dy
0.750 0.313 0.185 Dy
0.479 0.148 0.416 Dy
0.852 0.584 0.521 Dy
0.313 0.185 0.750 Dy
0.584 0.521 0.852 Dy
0.416 0.479 0.148 Dy
0.687 0.815 0.250 Dy
0.148 0.416 0.479 Dy
0.521 0.852 0.584 Dy
0.250 0.687 0.815 Dy
0.185 0.750 0.313 Dy
0.916 0.648 0.978 Ho
0.352 0.022 0.084 Ho
0.022 0.084 0.352 Ho
0.500 0.500 0.500 Ho
0.978 0.916 0.648 Ho
0.648 0.978 0.916 Ho
0.084 0.352 0.022 Ho
0.000 0.000 0.000 Er

6.
GGA-PBE Dy4Ho3Er4, optimized geometry; DFT total energy = -48.4 eV per cell; energy relative to the lowest polymorph listed for this composition = 1.37 eV/f.u.; calculated density = 8.6 Mg/m³; calculated formation energy = 0.184 eV per atom; SG = No. 12
1.0
3.450 -0.002 -0.638
-0.996 9.610 -5.410
0.184 -0.325 10.722
Dy Ho Er
4 3 4
direct
0.779 0.279 0.557 Dy
0.221 0.721 0.443 Dy
0.500 0.793 0.000 Dy
0.500 0.207 0.000 Dy
0.892 0.892 0.783 Ho
0.108 0.108 0.217 Ho
0.000 0.500 0.000 Ho
0.670 0.429 0.341 Er
0.330 0.089 0.659 Er
0.330 0.571 0.659 Er
0.670 0.911 0.341 Er

7.
GGA-PBE Dy4Ho3Er4, optimized geometry; DFT total energy = -49.7 eV per cell; energy relative to the lowest polymorph listed for this composition = 0.00 eV/f.u.; calculated density = 8.9 Mg/m³; calculated formation energy = 0.060 eV per atom; SG = No. 2
1.0
3.476 0.000 0.003
0.000 5.537 0.005
1.730 2.757 17.600
Dy Ho Er
4 3 4
direct
0.546 0.547 0.908 Dy
0.454 0.453 0.092 Dy
0.319 0.819 0.361 Dy
0.681 0.181 0.639 Dy
0.137 0.637 0.726 Ho
0.863 0.363 0.274 Ho
0.000 0.000 0.000 Ho
0.591 0.091 0.819 Er
0.267 0.267 0.467 Er
0.733 0.733 0.533 Er
0.409 0.909 0.181 Er

8.
GGA-PBE Dy3Ho4Er2, optimized geometry; DFT total energy = -41.1 eV per cell; energy relative to the lowest polymorph listed for this composition = 0.00 eV/f.u.; calculated density = 8.9 Mg/m³; calculated formation energy = 0.018 eV per atom; SG = No. 12
1.0
4.969 0.000 0.000
-2.484 5.301 -5.253
0.000 -3.597 14.082
Dy Ho Er
3 4 2
direct
0.555 0.111 0.667 Dy
0.000 0.000 0.000 Dy
0.445 0.889 0.333 Dy
0.667 0.333 0.000 Ho
0.333 0.667 0.000 Ho
0.889 0.777 0.667 Ho
0.111 0.223 0.333 Ho
0.778 0.556 0.334 Er
0.222 0.444 0.666 Er